No. 1
# La3Tb

A relaxed La3Tb crystal (PBE-GGA, Alexandria).

As for the total magnetization: 0.00 μB per cell. The value obtained for the density of states at the Fermi level is 6.574 states/eV/cell. As for the energy of formation from the pure elements: 0.033 eV/atom.

It has space group Pmm2 (No. 25), with a = 3.7266 Å, b = 5.9885 Å, c = 6.4232 Å, α = 90.00°, β = 90.00° and γ = 90.00°. Symmetry generates all atoms from La at (0.0000, 0.0000, 0.0000), La at (0.0000, 0.5000, 0.3345), La at (0.5000, 0.5000, 0.8343) and Tb at (0.5000, 0.0000, 0.5038).


No. 2
# La4Tb

A relaxed La4Tb crystal (PBE-GGA, Alexandria).

As for the total magnetization: 0.63 μB per cell. The value obtained for the density of states at the Fermi level is 9.397 states/eV/cell. As for the energy of formation from the pure elements: 0.553 eV/atom.

It has space group Pm-3m (No. 221), with a = 5.9409 Å, b = 5.9409 Å, c = 5.9409 Å, α = 90.00°, β = 90.00° and γ = 90.00°. Symmetry generates all atoms from La at (0.0000, 0.0000, 0.0000), La at (0.0000, 0.5000, 0.5000) and Tb at (0.5000, 0.5000, 0.5000).


No. 3
# La3Tb

A relaxed La3Tb crystal (PBE-GGA, Alexandria).

As for the total magnetization: 0.00 μB per cell. The value obtained for the density of states at the Fermi level is 14.517 states/eV/cell. As for the energy of formation from the pure elements: 0.035 eV/atom.

It has space group Imm2 (No. 44), with a = 3.7316 Å, b = 12.0140 Å, c = 6.4281 Å, α = 90.00°, β = 90.00° and γ = 90.00°. Symmetry generates all atoms from La at (0.0000, 0.0000, 0.0000), La at (0.0000, 0.2482, 0.3328) and Tb at (0.0000, 0.5000, 0.9998).


No. 4
# La3Tb2

A relaxed La3Tb2 crystal (PBE-GGA, Alexandria).

As for the total magnetization: 0.00 μB per cell. The value obtained for the density of states at the Fermi level is 49.857 states/eV/cell. As for the energy of formation from the pure elements: 0.249 eV/atom.

It has space group R-3c (No. 167, hexagonal axes), with a = 6.9520 Å, b = 6.9520 Å, c = 26.4496 Å, α = 90.00°, β = 90.00° and γ = 120.00°. Symmetry generates all atoms from La at (0.0000, 0.4652, 0.2500) and Tb at (0.0000, 0.0000, 0.1899).


No. 5
# LaTb6

A relaxed LaTb6 crystal (PBE-GGA, Alexandria).

As for the total magnetization: 0.00 μB per cell. The value obtained for the density of states at the Fermi level is 13.413 states/eV/cell. As for the energy of formation from the pure elements: 1.288 eV/atom.

It has space group Im-3m (No. 229), with a = 8.0894 Å, b = 8.0894 Å, c = 8.0894 Å, α = 90.00°, β = 90.00° and γ = 90.00°. Symmetry generates all atoms from La at (0.0000, 0.0000, 0.0000) and Tb at (0.0000, 0.2500, 0.5000).


No. 6
# La5Tb7

A relaxed La5Tb7 crystal (PBE-GGA, Alexandria).

As for the total magnetization: 0.00 μB per cell. The value obtained for the density of states at the Fermi level is 35.283 states/eV/cell. As for the energy of formation from the pure elements: 0.010 eV/atom.

It has space group C2/m (No. 12), with a = 18.9903 Å, b = 3.6600 Å, c = 13.3691 Å, α = 90.00°, β = 118.42° and γ = 90.00°. Symmetry generates all atoms from La at (0.0000, 0.0000, 0.0000), La at (0.1649, 0.0000, 0.4967), La at (0.1937, 0.5000, 0.7501), Tb at (0.0000, 0.5000, 0.5000), Tb at (0.0264, 0.0000, 0.7508), Tb at (0.1380, 0.5000, 0.2479) and Tb at (0.1660, 0.5000, 0.9962).


No. 7
# La4Tb3

A relaxed La4Tb3 crystal (PBE-GGA, Alexandria).

As for the total magnetization: 0.00 μB per cell. The value obtained for the density of states at the Fermi level is 25.408 states/eV/cell. As for the energy of formation from the pure elements: 0.119 eV/atom.

It has space group C2/m (No. 12), with a = 17.3538 Å, b = 3.5510 Å, c = 8.9443 Å, α = 90.00°, β = 116.96° and γ = 90.00°. Symmetry generates all atoms from La at (0.0797, 0.0000, 0.2092), La at (0.1399, 0.5000, 0.9084), Tb at (0.0000, 0.0000, 0.5000) and Tb at (0.2205, 0.0000, 0.6428).


No. 8
# La4Tb3

A relaxed La4Tb3 crystal (PBE-GGA, Alexandria).

As for the total magnetization: 0.00 μB per cell. The value obtained for the density of states at the Fermi level is 26.264 states/eV/cell. As for the energy of formation from the pure elements: 0.027 eV/atom.

It has space group C2/m (No. 12), with a = 11.6061 Å, b = 5.2171 Å, c = 8.1451 Å, α = 90.00°, β = 98.22° and γ = 90.00°. Symmetry generates all atoms from La at (0.0709, 0.0000, 0.2200), La at (0.1434, 0.5000, 0.9288), Tb at (0.0000, 0.5000, 0.5000) and Tb at (0.2157, 0.0000, 0.6387).


No. 9
# La3Tb

A relaxed La3Tb crystal (PBE-GGA, Alexandria).

As for the total magnetization: 0.00 μB per cell. The value obtained for the density of states at the Fermi level is 15.732 states/eV/cell. As for the energy of formation from the pure elements: 0.020 eV/atom.

It has space group I4/mmm (No. 139), with a = 5.2118 Å, b = 5.2118 Å, c = 10.4636 Å, α = 90.00°, β = 90.00° and γ = 90.00°. Symmetry generates all atoms from La at (0.0000, 0.0000, 0.0000), La at (0.0000, 0.5000, 0.2500) and Tb at (0.0000, 0.0000, 0.5000).


No. 10
# La4Tb

A relaxed La4Tb crystal (PBE-GGA, Alexandria).

As for the total magnetization: 0.00 μB per cell. The value obtained for the density of states at the Fermi level is 19.858 states/eV/cell. As for the energy of formation from the pure elements: 0.019 eV/atom.

It has space group I4/m (No. 87), with a = 8.2859 Å, b = 8.2859 Å, c = 5.1946 Å, α = 90.00°, β = 90.00° and γ = 90.00°. Symmetry generates all atoms from La at (0.1005, 0.7024, 0.0000) and Tb at (0.0000, 0.0000, 0.5000).


No. 11
# LaTb2

A relaxed LaTb2 crystal (PBE-GGA, Alexandria).

As for the total magnetization: 6.62 μB per cell. The value obtained for the density of states at the Fermi level is 61.493 states/eV/cell. As for the energy of formation from the pure elements: 0.268 eV/atom.

It has space group Fd-3m (No. 227, origin choice 2), with a = 9.4800 Å, b = 9.4800 Å, c = 9.4800 Å, α = 90.00°, β = 90.00° and γ = 90.00°. Symmetry generates all atoms from La at (0.1250, 0.1250, 0.1250) and Tb at (0.0000, 0.0000, 0.5000).


No. 12
# La2Tb13

A relaxed La2Tb13 crystal (PBE-GGA, Alexandria).

As for the total magnetization: 0.00 μB per cell. The value obtained for the density of states at the Fermi level is 25.461 states/eV/cell. As for the energy of formation from the pure elements: 0.050 eV/atom.

It has space group P-1 (No. 2), with a = 6.6776 Å, b = 8.8121 Å, c = 9.0781 Å, α = 69.11°, β = 83.62° and γ = 80.55°. Symmetry generates all atoms from La at (0.1997, 0.3081, 0.3964), Tb at (0.0000, 0.5000, 0.0000), Tb at (0.0963, 0.9227, 0.6945), Tb at (0.1372, 0.7003, 0.2639), Tb at (0.2374, 0.0769, 0.9746), Tb at (0.3342, 0.4972, 0.6702), Tb at (0.4297, 0.9225, 0.3577) and Tb at (0.4649, 0.6967, 0.9353).


Copy entry 3 word for word.
# La3Tb

A relaxed La3Tb crystal (PBE-GGA, Alexandria).

As for the total magnetization: 0.00 μB per cell. The value obtained for the density of states at the Fermi level is 14.517 states/eV/cell. As for the energy of formation from the pure elements: 0.035 eV/atom.

It has space group Imm2 (No. 44), with a = 3.7316 Å, b = 12.0140 Å, c = 6.4281 Å, α = 90.00°, β = 90.00° and γ = 90.00°. Symmetry generates all atoms from La at (0.0000, 0.0000, 0.0000), La at (0.0000, 0.2482, 0.3328) and Tb at (0.0000, 0.5000, 0.9998).